Entry 1:
The following is a DFT calculation (PBE) of a relaxed CeNd3Bi4 crystal.

a = 9.2227 Å, b = 13.0230 Å, c = 4.6030 Å
α = 90.00°, β = 90.00°, γ = 90.00°
Fractional positions:
Ce  0.0000  0.0000  0.0000
Ce  0.5000  0.5000  0.0000
Nd  0.0000  0.5000  0.0000
Nd  0.2500  0.2500  0.5000
Nd  0.2500  0.7500  0.5000
Nd  0.5000  0.0000  0.0000
Nd  0.7500  0.2500  0.5000
Nd  0.7500  0.7500  0.5000
Bi  0.0000  0.2488  0.0000
Bi  0.0000  0.7512  0.0000
Bi  0.2483  0.0000  0.5000
Bi  0.2517  0.5000  0.5000
Bi  0.5000  0.2512  0.0000
Bi  0.5000  0.7488  0.0000
Bi  0.7483  0.5000  0.5000
Bi  0.7517  0.0000  0.5000

Output
Formation enthalpy at 0 K ... -912 meV per atom


Entry 2:
The following is a DFT calculation (PBE) of a relaxed Cr7Os crystal.

a = 5.1775 Å, b = 5.1775 Å, c = 5.1775 Å
α = 60.00°, β = 60.00°, γ = 60.00°
Fractional positions:
Cr  0.0000  0.0000  0.0000
Cr  0.0000  0.0000  0.5000
Cr  0.0000  0.5000  0.0000
Cr  0.0000  0.5000  0.5000
Cr  0.5000  0.0000  0.0000
Cr  0.5000  0.0000  0.5000
Cr  0.5000  0.5000  0.0000
Os  0.5000  0.5000  0.5000

Output
Formation enthalpy at 0 K ... 295 meV per atom


Entry 3:
The following is a DFT calculation (PBE) of a relaxed AcHgSbO crystal.

a = 4.3934 Å, b = 4.3934 Å, c = 10.8329 Å
α = 90.00°, β = 90.00°, γ = 90.00°
Fractional positions:
Ac  0.2500  0.2500  0.1109
Ac  0.7500  0.7500  0.8891
Hg  0.2500  0.2500  0.7180
Hg  0.7500  0.7500  0.2820
Sb  0.2500  0.7500  0.5000
Sb  0.7500  0.2500  0.5000
O  0.2500  0.7500  0.0000
O  0.7500  0.2500  0.0000

Output
Uncorrected formation energy ... -1.60 eV/atom


Entry 4:
The following is a DFT calculation (PBE) of a relaxed Y4MgAl2 crystal.

a = 8.7629 Å, b = 8.7629 Å, c = 8.7629 Å
α = 34.14°, β = 34.14°, γ = 34.14°
Fractional positions:
Y  0.1153  0.1153  0.1153
Y  0.3688  0.3688  0.3688
Y  0.6312  0.6312  0.6312
Y  0.8847  0.8847  0.8847
Mg  0.5000  0.5000  0.5000
Al  0.2443  0.2443  0.2443
Al  0.7557  0.7557  0.7557

Output
Formation enthalpy at 0 K ... -228 meV per atom
Energy relative to the lowest polymorph listed for this composition ... 0.000 eV per atom


Entry 5:
The following is a DFT calculation (PBE) of a relaxed Pr4AlAg crystal.

a = 11.4020 Å, b = 11.4020 Å, c = 6.5746 Å
α = 90.00°, β = 90.00°, γ = 151.98°
Fractional positions:
Pr  0.0625  0.9375  0.5000
Pr  0.1995  0.8005  0.7787
Pr  0.2177  0.7823  0.3016
Pr  0.3800  0.6200  0.5559
Pr  0.6200  0.3800  0.0559
Pr  0.7823  0.2177  0.8016
Pr  0.8005  0.1995  0.2787
Pr  0.9375  0.0625  0.0000
Al  0.3412  0.6588  0.0345
Al  0.6588  0.3412  0.5345
Ag  0.0747  0.9253  0.0093
Ag  0.9253  0.0747  0.5093

Output
Formation enthalpy at 0 K ... 5 meV per atom
Energy relative to the lowest polymorph listed for this composition ... 0.168 eV per atom


Entry 6:
The following is a DFT calculation (PBE) of a relaxed Pm6Pr2Tl crystal.

a = 9.9478 Å, b = 9.9478 Å, c = 3.4798 Å
α = 90.14°, β = 90.14°, γ = 59.89°
Fractional positions:
Pm  0.1744  0.5003  0.0041
Pm  0.1768  0.8232  0.0000
Pm  0.5003  0.1744  0.0041
Pm  0.4997  0.8256  0.9959
Pm  0.8232  0.1768  0.0000
Pm  0.8256  0.4997  0.9959
Pr  0.1665  0.1665  0.5002
Pr  0.8335  0.8335  0.4998
Tl  0.5000  0.5000  0.5000

Output
Formation enthalpy at 0 K ... 25 meV per atom
Energy relative to the lowest polymorph listed for this composition ... 0.069 eV per atom


Entry 7:
The following is a DFT calculation (PBE) of a relaxed ScCdCl2 crystal.

a = 3.1896 Å, b = 4.4449 Å, c = 14.6160 Å
α = 90.00°, β = 90.00°, γ = 90.00°
Fractional positions:
Sc  0.0000  0.0000  0.0000
Sc  0.5000  0.5000  0.5000
Cd  0.0000  0.5000  0.6945
Cd  0.5000  0.0000  0.1945
Cl  0.0000  0.0000  0.5308
Cl  0.0000  0.5000  0.3626
Cl  0.5000  0.0000  0.8626
Cl  0.5000  0.5000  0.0308

Output
Uncorrected formation energy ... -1.08 eV/atom
Energy relative to the lowest polymorph listed for this composition ... 0.199 eV per atom


Entry 8:
The following is a DFT calculation (PBE) of a relaxed BaSi2Hg crystal.

a = 4.9374 Å, b = 5.2124 Å, c = 7.6190 Å
α = 90.00°, β = 90.00°, γ = 90.00°
Fractional positions:
Ba  0.0000  0.0000  0.0000
Ba  0.5000  0.5000  0.0000
Si  0.0000  0.0000  0.4277
Si  0.0000  0.5000  0.3196
Si  0.5000  0.0000  0.3196
Si  0.5000  0.5000  0.4277
Hg  0.0000  0.5000  0.6830
Hg  0.5000  0.0000  0.6830

Output
Uncorrected formation energy ... 0.02 eV/atom


Entry 9:
The following is a DFT calculation (PBE) of a relaxed Tb8PrHo6 crystal.

a = 8.6236 Å, b = 8.6236 Å, c = 8.6236 Å
α = 63.10°, β = 63.10°, γ = 63.10°
Fractional positions:
Tb  0.0767  0.0767  0.0767
Tb  0.2197  0.2454  0.6111
Tb  0.2454  0.6111  0.2197
Tb  0.3889  0.7803  0.7546
Tb  0.6111  0.2197  0.2454
Tb  0.7546  0.3889  0.7803
Tb  0.7803  0.7546  0.3889
Tb  0.9233  0.9233  0.9233
Pr  0.5000  0.5000  0.5000
Ho  0.0369  0.7383  0.6041
Ho  0.2617  0.3959  0.9631
Ho  0.3959  0.9631  0.2617
Ho  0.6041  0.0369  0.7383
Ho  0.7383  0.6041  0.0369
Ho  0.9631  0.2617  0.3959

Output
Formation enthalpy at 0 K ... 134 meV per atom


Entry 10:
The following is a DFT calculation (PBE) of a relaxed SrNp2TiO8 crystal.

a = 4.9850 Å, b = 4.9850 Å, c = 6.9159 Å
α = 90.00°, β = 90.00°, γ = 92.53°
Fractional positions:
Sr  0.0000  0.0000  0.0000
Np  0.5000  0.5000  0.2603
Np  0.5000  0.5000  0.7397
Ti  0.0000  0.0000  0.5000
O  0.1997  0.1997  0.2941
O  0.1997  0.1997  0.7059
O  0.2905  0.7095  0.5000
O  0.3310  0.6690  0.0000
O  0.6690  0.3310  0.0000
O  0.7095  0.2905  0.5000
O  0.8003  0.8003  0.2941
O  0.8003  0.8003  0.7059

Output
Uncorrected formation energy ... -2.92 eV/atom


Entry 11:
The following is a DFT calculation (PBE) of a relaxed Dy8C3S3N crystal.

a = 7.5893 Å, b = 7.5893 Å, c = 7.5893 Å
α = 57.94°, β = 57.94°, γ = 57.94°
Fractional positions:
Dy  0.2354  0.7382  0.7382
Dy  0.2385  0.2385  0.2385
Dy  0.2618  0.2618  0.7646
Dy  0.2618  0.7646  0.2618
Dy  0.7382  0.2354  0.7382
Dy  0.7382  0.7382  0.2354
Dy  0.7615  0.7615  0.7615
Dy  0.7646  0.2618  0.2618
C  0.0000  0.0000  0.5000
C  0.0000  0.5000  0.0000
C  0.5000  0.0000  0.0000
S  0.0000  0.5000  0.5000
S  0.5000  0.0000  0.5000
S  0.5000  0.5000  0.0000
N  0.5000  0.5000  0.5000

Output
Uncorrected formation energy ... -1.24 eV/atom


Entry 12:
The following is a DFT calculation (PBE) of a relaxed BaNa2P crystal.

a = 4.6679 Å, b = 11.5000 Å, c = 9.2393 Å
α = 90.00°, β = 90.00°, γ = 90.00°
Fractional positions:
Ba  0.0000  0.0529  0.2500
Ba  0.0000  0.9471  0.7500
Ba  0.5000  0.4471  0.7500
Ba  0.5000  0.5529  0.2500
Na  0.0000  0.3299  0.0631
Na  0.0000  0.3299  0.4369
Na  0.0000  0.6701  0.5631
Na  0.0000  0.6701  0.9369
Na  0.5000  0.1701  0.5631
Na  0.5000  0.1701  0.9369
Na  0.5000  0.8299  0.0631
Na  0.5000  0.8299  0.4369
P  0.0000  0.2416  0.7500
P  0.0000  0.7584  0.2500
P  0.5000  0.2584  0.2500
P  0.5000  0.7416  0.7500

Output
Formation enthalpy at 0 K ... -422 meV per atom


Entry 13:
The following is a DFT calculation (PBE) of a relaxed Sn2MoIr crystal.

a = 6.5839 Å, b = 6.5839 Å, c = 6.5839 Å
α = 90.00°, β = 90.00°, γ = 90.00°
Fractional positions:
Sn  0.2500  0.2500  0.2500
Sn  0.2500  0.2500  0.7500
Sn  0.2500  0.7500  0.2500
Sn  0.2500  0.7500  0.7500
Sn  0.7500  0.2500  0.2500
Sn  0.7500  0.2500  0.7500
Sn  0.7500  0.7500  0.2500
Sn  0.7500  0.7500  0.7500
Mo  0.0000  0.0000  0.0000
Mo  0.0000  0.5000  0.5000
Mo  0.5000  0.0000  0.5000
Mo  0.5000  0.5000  0.0000
Ir  0.0000  0.0000  0.5000
Ir  0.0000  0.5000  0.0000
Ir  0.5000  0.0000  0.0000
Ir  0.5000  0.5000  0.5000

Output
Formation enthalpy at 0 K ... 156 meV per atom
Energy relative to the lowest polymorph listed for this composition ... 0.000 eV per atom


Entry 14:
The following is a DFT calculation (PBE) of a relaxed NdNi3As3 crystal.

a = 7.8018 Å, b = 7.8018 Å, c = 7.8018 Å
α = 51.48°, β = 51.48°, γ = 51.48°
Fractional positions:
Nd  0.1673  0.1673  0.1673
Nd  0.8327  0.8327  0.8327
Ni  0.0314  0.3748  0.7158
Ni  0.2843  0.9686  0.6252
Ni  0.3748  0.7157  0.0314
Ni  0.6252  0.2842  0.9686
Ni  0.7158  0.0314  0.3748
Ni  0.9686  0.6252  0.2843
As  0.0902  0.7252  0.4057
As  0.2748  0.5943  0.9098
As  0.4057  0.0902  0.7252
As  0.5943  0.9098  0.2748
As  0.7252  0.4057  0.0902
As  0.9098  0.2748  0.5943

Output
Formation enthalpy at 0 K ... -536 meV per atom
Energy relative to the lowest polymorph listed for this composition ... 0.000 eV per atom


Entry 15:
The following is a DFT calculation (PBE) of a relaxed FePdI3 crystal.

a = 5.4854 Å, b = 5.4854 Å, c = 5.4854 Å
α = 90.00°, β = 90.00°, γ = 90.00°
Fractional positions:
Fe  0.0000  0.0000  0.0000
Pd  0.5000  0.5000  0.5000
I  0.0000  0.5000  0.5000
I  0.5000  0.0000  0.5000
I  0.5000  0.5000  0.0000

Output
Uncorrected formation energy ... 0.62 eV/atom
Energy relative to the lowest polymorph listed for this composition ... 0.000 eV per atom


Entry 16:
The following is a DFT calculation (PBE) of a relaxed Ho6As2HSe3 crystal.

a = 8.9333 Å, b = 8.9333 Å, c = 8.0566 Å
α = 104.35°, β = 104.35°, γ = 26.13°
Fractional positions:
Ho  0.0025  0.0025  0.2589
Ho  0.3303  0.3303  0.9225
Ho  0.3480  0.3480  0.4204
Ho  0.6520  0.6520  0.5796
Ho  0.6697  0.6697  0.0775
Ho  0.9975  0.9975  0.7411
As  0.1629  0.1629  0.8293
As  0.8371  0.8371  0.1707
H  0.5000  0.5000  0.5000
Se  0.1739  0.1739  0.3367
Se  0.5000  0.5000  0.0000
Se  0.8261  0.8261  0.6633

Output
Total DFT energy (no corrections) ... -5.615 eV per atom


Entry 17:
The following is a DFT calculation (PBE) of a relaxed BaMgP crystal.

a = 7.1696 Å, b = 7.1696 Å, c = 7.1696 Å
α = 90.00°, β = 90.00°, γ = 90.00°
Fractional positions:
Ba  0.0000  0.0000  0.0000
Ba  0.0000  0.5000  0.5000
Ba  0.5000  0.0000  0.5000
Ba  0.5000  0.5000  0.0000
Mg  0.0000  0.0000  0.5000
Mg  0.0000  0.5000  0.0000
Mg  0.5000  0.0000  0.0000
Mg  0.5000  0.5000  0.5000
P  0.2500  0.2500  0.7500
P  0.2500  0.7500  0.2500
P  0.7500  0.2500  0.2500
P  0.7500  0.7500  0.7500

Output
Formation enthalpy at 0 K ... -408 meV per atom
Energy relative to the lowest polymorph listed for this composition ... 0.347 eV per atom


Entry 18:
The following is a DFT calculation (PBE) of a relaxed Sr2BeRuPb crystal.

a = 5.8190 Å, b = 5.8190 Å, c = 4.2653 Å
α = 90.00°, β = 90.00°, γ = 90.00°
Fractional positions:
Sr  0.0000  0.5000  0.0000
Sr  0.5000  0.0000  0.0000
Be  0.0000  0.0000  0.5000
Ru  0.0000  0.0000  0.0000
Pb  0.5000  0.5000  0.5000

Output
Formation enthalpy at 0 K ... 311 meV per atom


Entry 19:
The following is a DFT calculation (PBE) of a relaxed SrAl2SeO6 crystal.

a = 7.1007 Å, b = 7.1007 Å, c = 5.7987 Å
α = 103.24°, β = 103.24°, γ = 85.23°
Fractional positions:
Sr  0.1658  0.8342  0.7500
Sr  0.8342  0.1658  0.2500
Al  0.1256  0.3086  0.8130
Al  0.3086  0.1256  0.3130
Al  0.6914  0.8744  0.6870
Al  0.8744  0.6914  0.1870
Se  0.3597  0.6403  0.2500
Se  0.6403  0.3597  0.7500
O  0.1312  0.6438  0.3220
O  0.1534  0.1772  0.0441
O  0.1772  0.1534  0.5441
O  0.2428  0.5300  0.9046
O  0.3562  0.8688  0.1780
O  0.4700  0.7572  0.5954
O  0.5300  0.2428  0.4046
O  0.6438  0.1312  0.8220
O  0.7572  0.4700  0.0954
O  0.8228  0.8466  0.4559
O  0.8466  0.8228  0.9559
O  0.8688  0.3562  0.6780

Output
Uncorrected formation energy ... -2.34 eV/atom


Entry 20:
The following is a DFT calculation (PBE) of a relaxed SrCoSe2 crystal.

a = 4.7661 Å, b = 4.7661 Å, c = 22.4324 Å
α = 90.00°, β = 90.00°, γ = 120.00°
Fractional positions:
Sr  0.0000  0.0000  0.0000
Sr  0.3333  0.6667  0.6667
Sr  0.6667  0.3333  0.3333
Co  0.0000  0.0000  0.5000
Co  0.3333  0.6667  0.1667
Co  0.6667  0.3333  0.8333
Se  0.0000  0.0000  0.4004
Se  0.0000  0.0000  0.5996
Se  0.3333  0.6667  0.0670
Se  0.3333  0.6667  0.2663
Se  0.6667  0.3333  0.7337
Se  0.6667  0.3333  0.9330

Output
Uncorrected formation energy ... -0.56 eV/atom
Energy relative to the lowest polymorph listed for this composition ... 0.362 eV per atom